DFT (PBEsol) results for a relaxed structure of CaTlB2.

Computed properties:
Energy of formation, eV/f.u.: 4.1

Lattice parameters (Å, degrees): 6.3424 6.3424 6.3424 90.00 90.00 90.00
Last column: nearest neighbours and their distance in Å.
Space group Fm-3m (No. 225)
One atom of each set of equivalent atoms:
Ca1 0.0000 0.0000 0.0000 [4 per cell]  8 B 2.75
Tl1 0.0000 0.0000 0.5000 [4 per cell]  8 B 2.75
B1 0.2500 0.2500 0.2500 [8 per cell]  4 Tl 2.75, 4 Ca 2.75

---

DFT (PBEsol) results for a relaxed structure of TlCuSe2.

Computed properties:
Formation energy (no corrections), meV/atom: -127

Lattice parameters (Å, degrees): 11.2640 3.6315 5.1903 90.00 90.08 90.00
Last column: nearest neighbours and their distance in Å.
Space group Cm (No. 8)
One atom of each set of equivalent atoms:
Tl1 0.0000 0.0000 0.0000 [2 per cell]  6 Se 3.15-3.29, 2 Cu 3.51-3.52
Cu1 0.2898 0.5000 0.5000 [2 per cell]  4 Se 2.34-2.35
Se1 0.1588 0.0000 0.5004 [2 per cell]  2 Cu 2.34
Se2 0.4227 0.0000 0.4996 [2 per cell]  2 Cu 2.35

---

DFT (PBEsol) results for a relaxed structure of RbMnCuAg2.

Computed properties:
Energy of formation, eV/f.u.: 9.8

Lattice parameters (Å, degrees): 5.4493 5.4493 5.0447 90.00 90.00 90.00
Last column: nearest neighbours and their distance in Å.
Space group P4/mmm (No. 123)
One atom of each set of equivalent atoms:
Rb1 0.0000 0.0000 0.0000 [1 per cell]  2 Cu 2.52, 4 Ag 2.72
Mn1 0.5000 0.5000 0.5000 [1 per cell]  8 Ag 3.71, 4 Cu 3.85
Cu1 0.0000 0.0000 0.5000 [1 per cell]  2 Rb 2.52
Ag1 0.0000 0.5000 0.0000 [2 per cell]  2 Rb 2.72

---

DFT (PBEsol) results for a relaxed structure of MgNb2H2.

Computed properties:
Electronic total energy, eV per atom: -6.0690

Lattice parameters (Å, degrees): 3.6372 3.6372 9.2154 90.00 90.00 90.00
Last column: nearest neighbours and their distance in Å.
Space group I4/mmm (No. 139)
One atom of each set of equivalent atoms:
Mg1 0.0000 0.0000 0.0000 [2 per cell]  8 H 2.94, 10 Nb 3.02-3.03
Nb1 0.0000 0.0000 0.3285 [4 per cell]  4 H 1.96
H1 0.0000 0.5000 0.2500 [4 per cell]  4 Nb 1.96

---

DFT (PBEsol) results for a relaxed structure of ZrTa2As.

Computed properties:
Energy of formation, eV/f.u.: -0.3

Lattice parameters (Å, degrees): 4.1389 4.1389 8.3380 90.00 90.00 90.00
Last column: nearest neighbours and their distance in Å.
Space group I-4m2 (No. 119)
One atom of each set of equivalent atoms:
Zr1 0.0000 0.0000 0.0000 [2 per cell]  8 Ta 2.93-2.94, 4 As 2.94
Ta1 0.0000 0.0000 0.5000 [2 per cell]  4 Zr 2.93, 4 Ta 2.94, 4 As 2.94
Ta2 0.0000 0.5000 0.7500 [2 per cell]  4 As 2.93, 4 Ta 2.94, 4 Zr 2.94
As1 0.0000 0.5000 0.2500 [2 per cell]  8 Ta 2.93-2.94, 4 Zr 2.94

---

DFT (PBEsol) results for a relaxed structure of CaO3F.

Computed properties:
Formation energy (no corrections), meV/atom: -196

Lattice parameters (Å, degrees): 3.7412 3.7412 3.7412 90.00 90.00 90.00
Last column: nearest neighbours and their distance in Å.
Space group Pm-3m (No. 221)
One atom of each set of equivalent atoms:
Ca1 0.0000 0.0000 0.0000 [1 per cell]  12 O 2.65
O1 0.0000 0.5000 0.5000 [3 per cell]  2 F 1.87
F1 0.5000 0.5000 0.5000 [1 per cell]  6 O 1.87

---

Number 1: M_tot 0.00 μB/cell, Fermi-level density of states 0.38 states/eV per atom. Number 2: M_tot 0.00 μB/cell, Fermi-level density of states 0.28 states/eV per atom. Number 3: M_tot 4.54 μB/cell, Fermi-level density of states 0.57 states/eV per atom. Number 4: M_tot 0.00 μB/cell, Fermi-level density of states 0.33 states/eV per atom. Number 5: M_tot 0.00 μB/cell, Fermi-level density of states 0.74 states/eV per atom. Number 6: M_tot 1.51 μB/cell, Fermi-level density of states 0.50 states/eV per atom.